The following is a DFT calculation (PBE) of a relaxed Tb5Y2Bi5 crystal.

a b c (Å): 7.6593 7.6593 12.8050
angles (deg): 110.48 110.48 33.80
Fractional coordinates of all 12 atoms:
Tb 0.0000 0.0000 0.0000
Tb 0.1621 0.1621 0.5315
Tb 0.2129 0.2129 0.8367
Tb 0.7871 0.7871 0.1633
Tb 0.8379 0.8379 0.4685
Y 0.4511 0.4511 0.7128
Y 0.5489 0.5489 0.2872
Bi 0.1973 0.1973 0.2845
Bi 0.3804 0.3804 0.0643
Bi 0.5000 0.5000 0.5000
Bi 0.6196 0.6196 0.9357
Bi 0.8027 0.8027 0.7155

## Properties
SG	C2/m, No. 12
total moment	0.000	μB per atom
D(E_F)	0.6882	states/eV per atom
calculated total energy	-5.2418	eV/atom
E_form	-0.62	eV per atom

The following is a DFT calculation (PBE) of a relaxed Tb5Y3Bi2 crystal.

a b c (Å): 10.6723 10.6723 10.6723
angles (deg): 105.67 84.94 144.91
Fractional coordinates of all 20 atoms:
Tb 0.1655 0.0836 0.2492
Tb 0.2500 0.0081 0.7581
Tb 0.2500 0.2500 0.0000
Tb 0.2500 0.4919 0.2419
Tb 0.3345 0.5836 0.9181
Tb 0.6655 0.4164 0.0819
Tb 0.7500 0.5081 0.7581
Tb 0.7500 0.7500 0.0000
Tb 0.7500 0.9919 0.2419
Tb 0.8345 0.9164 0.7508
Y 0.2023 0.3698 0.5720
Y 0.2500 0.7500 0.5000
Y 0.2977 0.8698 0.1675
Y 0.7023 0.1302 0.8325
Y 0.7500 0.2500 0.5000
Y 0.7977 0.6302 0.4280
Bi 0.1485 0.6443 0.7927
Bi 0.3515 0.1443 0.4958
Bi 0.6485 0.8557 0.5042
Bi 0.8515 0.3557 0.2073

## Properties
SG	Ibam, No. 72
total moment	0.000	μB per atom
D(E_F)	1.2233	states/eV per atom
calculated total energy	-5.0752	eV/atom
E_form	-0.04	eV per atom

The following is a DFT calculation (PBE) of a relaxed TbY3Bi2 crystal.

a b c (Å): 8.8340 8.8340 12.2717
angles (deg): 117.44 117.44 28.71
Fractional coordinates of all 12 atoms:
Tb 0.0837 0.0837 0.1741
Tb 0.9163 0.9163 0.8259
Y 0.1167 0.1167 0.5227
Y 0.2593 0.2593 0.8568
Y 0.4418 0.4418 0.2788
Y 0.5582 0.5582 0.7212
Y 0.7407 0.7407 0.1432
Y 0.8833 0.8833 0.4773
Bi 0.1196 0.1196 0.9456
Bi 0.3396 0.3396 0.6337
Bi 0.6604 0.6604 0.3663
Bi 0.8804 0.8804 0.0544

## Properties
SG	C2/m, No. 12
total moment	0.000	μB per atom
excess energy over the best structure of this formula in the dataset	234	meV/atom
D(E_F)	1.0617	states/eV per atom
calculated total energy	-5.6903	eV/atom
E_form	-0.39	eV per atom

The following is a DFT calculation (PBE) of a relaxed TbY2Bi crystal.

a b c (Å): 6.5898 6.5898 9.6813
angles (deg): 90.00 90.00 143.18
Fractional coordinates of all 8 atoms:
Tb 0.0566 0.9434 0.7500
Tb 0.9434 0.0566 0.2500
Y 0.3666 0.6334 0.5454
Y 0.3666 0.6334 0.9546
Y 0.6334 0.3666 0.0454
Y 0.6334 0.3666 0.4546
Bi 0.2418 0.7582 0.2500
Bi 0.7582 0.2418 0.7500

## Properties
SG	Cmcm, No. 63
total moment	0.033	μB per atom
excess energy over the best structure of this formula in the dataset	0	meV/atom
D(E_F)	1.6589	states/eV per atom
calculated total energy	-5.7781	eV/atom
E_form	-0.42	eV per atom